Here is a geometry-optimized TcSb2Se structure from Alexandria. Energies are from GGA-PBE.

Lattice parameters (Å, degrees): 3.5395 3.5395 23.7256 90.00 90.00 120.00
Positions (direct):
Tc 0.0000 0.0000 0.0000
Tc 0.3333 0.6667 0.6667
Tc 0.6667 0.3333 0.3333
Sb 0.0000 0.0000 0.2565
Sb 0.0000 0.0000 0.7435
Sb 0.3333 0.6667 0.4101
Sb 0.3333 0.6667 0.9232
Sb 0.6667 0.3333 0.0768
Sb 0.6667 0.3333 0.5899
Se 0.0000 0.0000 0.5000
Se 0.3333 0.6667 0.1667
Se 0.6667 0.3333 0.8333

space-group type	R-3m
E_form (uncorrected)	135	meV per atom



Here is a geometry-optimized Pu2Pd3 structure from Alexandria. Energies are from GGA-PBE.

Lattice parameters (Å, degrees): 5.4468 5.4468 8.1685 90.00 90.00 119.38
Positions (direct):
Pu 0.1450 0.8550 0.9079
Pu 0.3550 0.6450 0.4079
Pu 0.6450 0.3550 0.5921
Pu 0.8550 0.1450 0.0921
Pd 0.0000 0.0000 0.5000
Pd 0.1328 0.3672 0.7500
Pd 0.3672 0.1328 0.2500
Pd 0.5000 0.5000 0.0000
Pd 0.6328 0.8672 0.7500
Pd 0.8672 0.6328 0.2500

space-group type	Cmce
energy of formation	-2.29	eV/f.u.



Here is a geometry-optimized Rb2ZrNp2Te6 structure from Alexandria. Energies are from GGA-PBE.

Lattice parameters (Å, degrees): 7.5539 7.5539 9.1967 98.18 98.18 119.76
Positions (direct):
Rb 0.1699 0.8301 0.0000
Rb 0.8301 0.1699 0.0000
Zr 0.0000 0.0000 0.5000
Np 0.3322 0.6678 0.5000
Np 0.6678 0.3322 0.5000
Te 0.0711 0.3872 0.6973
Te 0.2528 0.2528 0.3047
Te 0.3872 0.0711 0.6973
Te 0.6128 0.9289 0.3027
Te 0.7472 0.7472 0.6953
Te 0.9289 0.6128 0.3027

space-group type	C2/m
E_form (uncorrected)	-875	meV per atom



Here is a geometry-optimized Ba2N2O structure from Alexandria. Energies are from GGA-PBE.

Lattice parameters (Å, degrees): 7.3297 7.3297 3.9897 90.00 90.00 90.00
Positions (direct):
Ba 0.2093 0.2907 0.0000
Ba 0.2907 0.7907 0.0000
Ba 0.7093 0.2093 0.0000
Ba 0.7907 0.7093 0.0000
N 0.0618 0.5618 0.5000
N 0.4382 0.0618 0.5000
N 0.5618 0.9382 0.5000
N 0.9382 0.4382 0.5000
O 0.0000 0.0000 0.0000
O 0.5000 0.5000 0.0000

space-group type	P4/mbm
E_form (uncorrected)	-997	meV per atom



Here is a geometry-optimized TaAsCl structure from Alexandria. Energies are from GGA-PBE.

Lattice parameters (Å, degrees): 6.3083 6.3083 6.3083 90.00 90.00 90.00
Positions (direct):
Ta 0.0000 0.0000 0.0000
Ta 0.0000 0.5000 0.5000
Ta 0.5000 0.0000 0.5000
Ta 0.5000 0.5000 0.0000
As 0.2500 0.2500 0.7500
As 0.2500 0.7500 0.2500
As 0.7500 0.2500 0.2500
As 0.7500 0.7500 0.7500
Cl 0.2500 0.2500 0.2500
Cl 0.2500 0.7500 0.7500
Cl 0.7500 0.2500 0.7500
Cl 0.7500 0.7500 0.2500

space-group type	F-43m
E_form (uncorrected)	27	meV per atom



Here is a geometry-optimized SmThBe structure from Alexandria. Energies are from GGA-PBE.

Lattice parameters (Å, degrees): 3.5279 3.5279 12.1588 90.00 90.00 90.00
Positions (direct):
Sm 0.0000 0.0000 0.0000
Sm 0.5000 0.5000 0.5000
Th 0.0000 0.0000 0.2824
Th 0.5000 0.5000 0.7824
Be 0.0000 0.0000 0.6421
Be 0.5000 0.5000 0.1421

space-group type	I4mm
energy of formation	0.54	eV/f.u.



Here is a geometry-optimized PrAgPtPb structure from Alexandria. Energies are from GGA-PBE.

Lattice parameters (Å, degrees): 7.1863 7.1863 7.1863 90.00 90.00 90.00
Positions (direct):
Pr 0.0000 0.0000 0.0000
Pr 0.0000 0.5000 0.5000
Pr 0.5000 0.0000 0.5000
Pr 0.5000 0.5000 0.0000
Ag 0.2500 0.2500 0.7500
Ag 0.2500 0.7500 0.2500
Ag 0.7500 0.2500 0.2500
Ag 0.7500 0.7500 0.7500
Pt 0.2500 0.2500 0.2500
Pt 0.2500 0.7500 0.7500
Pt 0.7500 0.2500 0.7500
Pt 0.7500 0.7500 0.2500
Pb 0.0000 0.0000 0.5000
Pb 0.0000 0.5000 0.0000
Pb 0.5000 0.0000 0.0000
Pb 0.5000 0.5000 0.5000

space-group type	F-43m
energy of formation	-1.96	eV/f.u.



Here is a geometry-optimized Cs2BiTeCl3 structure from Alexandria. Energies are from GGA-PBE.

Lattice parameters (Å, degrees): 5.6792 6.0269 17.6636 90.00 90.00 90.00
Positions (direct):
Cs 0.0000 0.0000 0.1455
Cs 0.0000 0.0000 0.8545
Cs 0.5000 0.5000 0.3545
Cs 0.5000 0.5000 0.6455
Bi 0.0000 0.0000 0.5000
Bi 0.5000 0.5000 0.0000
Te 0.0000 0.5000 0.5000
Te 0.5000 0.0000 0.0000
Cl 0.0000 0.0000 0.3423
Cl 0.0000 0.0000 0.6577
Cl 0.0000 0.5000 0.0000
Cl 0.5000 0.0000 0.5000
Cl 0.5000 0.5000 0.1577
Cl 0.5000 0.5000 0.8423

space-group type	Immm
E_form (uncorrected)	-1261	meV per atom



Here is a geometry-optimized DyHo2TmN4 structure from Alexandria. Energies are from GGA-PBE.

Lattice parameters (Å, degrees): 5.9650 3.4451 5.9652 90.00 109.45 90.00
Positions (direct):
Dy 0.0000 0.0000 0.0000
Ho 0.5000 0.0000 0.5000
Ho 0.5000 0.5000 0.0000
Tm 0.0000 0.5000 0.5000
N 0.2486 0.0000 0.7476
N 0.2500 0.5000 0.2519
N 0.7500 0.5000 0.7481
N 0.7514 0.0000 0.2524

space-group type	P2/m
E_form (uncorrected)	-1754	meV per atom



Here is a geometry-optimized GdTm3Rh structure from Alexandria. Energies are from GGA-PBE.

Lattice parameters (Å, degrees): 5.3355 5.3355 5.3355 90.00 90.00 90.00
Positions (direct):
Gd 0.0000 0.0000 0.0000
Tm 0.0000 0.5000 0.5000
Tm 0.5000 0.0000 0.5000
Tm 0.5000 0.5000 0.0000
Rh 0.5000 0.5000 0.5000

space-group type	Pm-3m
energy of formation	-1.43	eV/f.u.



Here is a geometry-optimized SiGePt3 structure from Alexandria. Energies are from GGA-PBE.

Lattice parameters (Å, degrees): 4.6617 4.6617 4.6617 90.00 90.00 90.00
Positions (direct):
Si 0.0000 0.0000 0.0000
Ge 0.5000 0.5000 0.5000
Pt 0.0000 0.5000 0.5000
Pt 0.5000 0.0000 0.5000
Pt 0.5000 0.5000 0.0000

space-group type	Pm-3m
E_form (uncorrected)	614	meV per atom



Here is a geometry-optimized Na2SmPaS4 structure from Alexandria. Energies are from GGA-PBE.

Lattice parameters (Å, degrees): 6.9642 3.9829 7.1501 90.00 108.68 90.00
Positions (direct):
Na 0.0000 0.0000 0.0000
Na 0.5000 0.5000 0.0000
Sm 0.0000 0.5000 0.5000
Pa 0.5000 0.0000 0.5000
S 0.2521 0.0000 0.7338
S 0.2602 0.5000 0.2666
S 0.7398 0.5000 0.7334
S 0.7479 0.0000 0.2662

space-group type	P2/m
E_form (uncorrected)	-1610	meV per atom



Here is a geometry-optimized Nd6TmAl structure from Alexandria. Energies are from GGA-PBE.

Lattice parameters (Å, degrees): 6.7439 11.4374 6.8331 90.00 100.01 90.00
Positions (direct):
Nd 0.1305 0.2151 0.2620
Nd 0.1305 0.7849 0.2620
Nd 0.2502 0.0000 0.9342
Nd 0.2498 0.5000 0.0658
Nd 0.3695 0.2849 0.7380
Nd 0.3695 0.7151 0.7380
Nd 0.6305 0.2849 0.2620
Nd 0.6305 0.7151 0.2620
Nd 0.7498 0.0000 0.0658
Nd 0.7502 0.5000 0.9342
Nd 0.8695 0.2151 0.7380
Nd 0.8695 0.7849 0.7380
Tm 0.0000 0.5000 0.5000
Tm 0.5000 0.0000 0.5000
Al 0.0000 0.0000 0.5000
Al 0.5000 0.5000 0.5000

space-group type	C2/m
energy of formation	-0.44	eV/f.u.



Here is a geometry-optimized NaNd3Er2Se6 structure from Alexandria. Energies are from GGA-PBE.

Lattice parameters (Å, degrees): 7.1513 7.1513 7.2854 99.43 99.43 120.08
Positions (direct):
Na 0.0000 0.0000 0.0000
Nd 0.1616 0.8384 0.5000
Nd 0.5000 0.5000 0.5000
Nd 0.8384 0.1616 0.5000
Er 0.3343 0.6657 0.0000
Er 0.6657 0.3343 0.0000
Se 0.0786 0.4165 0.2372
Se 0.2588 0.2588 0.7698
Se 0.4165 0.0786 0.2372
Se 0.5835 0.9214 0.7628
Se 0.7412 0.7412 0.2302
Se 0.9214 0.5835 0.7628

space-group type	C2/m
E_form (uncorrected)	-1756	meV per atom



Here is a geometry-optimized Rb2SiAgIr structure from Alexandria. Energies are from GGA-PBE.

Lattice parameters (Å, degrees): 6.1839 6.1839 5.0521 90.00 90.00 90.00
Positions (direct):
Rb 0.0000 0.5000 0.0000
Rb 0.5000 0.0000 0.0000
Si 0.0000 0.0000 0.5000
Ag 0.5000 0.5000 0.0000
Ir 0.5000 0.5000 0.5000

space-group type	P4/mmm
E_form (uncorrected)	1341	meV per atom



Here is a geometry-optimized AcMgHg6 structure from Alexandria. Energies are from GGA-PBE.

Lattice parameters (Å, degrees): 4.6306 4.6306 10.1595 90.00 90.00 90.00
Positions (direct):
Ac 0.0000 0.0000 0.0000
Mg 0.0000 0.0000 0.5000
Hg 0.0000 0.5000 0.3295
Hg 0.0000 0.5000 0.6705
Hg 0.5000 0.0000 0.3295
Hg 0.5000 0.0000 0.6705
Hg 0.5000 0.5000 0.1410
Hg 0.5000 0.5000 0.8590

space-group type	P4/mmm
energy of formation	-1.37	eV/f.u.



Here is a geometry-optimized Tl2SiGeAu6 structure from Alexandria. Energies are from GGA-PBE.

Lattice parameters (Å, degrees): 6.8623 9.0444 7.3483 90.00 90.00 90.00
Positions (direct):
Tl 0.2500 0.0433 0.1902
Tl 0.2500 0.4567 0.1902
Tl 0.7500 0.5433 0.8098
Tl 0.7500 0.9567 0.8098
Si 0.2500 0.2500 0.7526
Si 0.7500 0.7500 0.2474
Ge 0.2500 0.7500 0.7657
Ge 0.7500 0.2500 0.2343
Au 0.0242 0.7500 0.4729
Au 0.0337 0.7500 0.0501
Au 0.2500 0.0044 0.6060
Au 0.2500 0.4956 0.6060
Au 0.4663 0.7500 0.0501
Au 0.4758 0.7500 0.4729
Au 0.5242 0.2500 0.5271
Au 0.5337 0.2500 0.9499
Au 0.7500 0.5044 0.3940
Au 0.7500 0.9956 0.3940
Au 0.9663 0.2500 0.9499
Au 0.9758 0.2500 0.5271

space-group type	Pmmn
E_form (uncorrected)	-24	meV per atom



Here is a geometry-optimized Pb3CI structure from Alexandria. Energies are from GGA-PBE.

Lattice parameters (Å, degrees): 6.0555 6.0555 6.0555 90.00 90.00 90.00
Positions (direct):
Pb 0.0000 0.0000 0.5000
Pb 0.0000 0.5000 0.0000
Pb 0.5000 0.0000 0.0000
C 0.5000 0.5000 0.5000
I 0.0000 0.0000 0.0000

space-group type	Pm-3m
E_form (uncorrected)	1984	meV per atom



Here is a geometry-optimized Pr4Ag2S structure from Alexandria. Energies are from GGA-PBE.

Lattice parameters (Å, degrees): 5.4707 5.4707 14.7855 90.00 90.00 90.00
Positions (direct):
Pr 0.0000 0.0000 0.1912
Pr 0.0000 0.0000 0.8088
Pr 0.0000 0.5000 0.0000
Pr 0.0000 0.5000 0.5000
Pr 0.5000 0.0000 0.0000
Pr 0.5000 0.0000 0.5000
Pr 0.5000 0.5000 0.3088
Pr 0.5000 0.5000 0.6912
Ag 0.0000 0.0000 0.3906
Ag 0.0000 0.0000 0.6094
Ag 0.5000 0.5000 0.1094
Ag 0.5000 0.5000 0.8906
S 0.0000 0.0000 0.0000
S 0.5000 0.5000 0.5000

space-group type	I4/mmm
E_form (uncorrected)	-528	meV per atom



Here is a geometry-optimized NaCaLa2Ru structure from Alexandria. Energies are from GGA-PBE.

Lattice parameters (Å, degrees): 5.3659 5.3659 6.1270 90.00 90.00 90.00
Positions (direct):
Na 0.0000 0.0000 0.0000
Ca 0.5000 0.5000 0.0000
La 0.0000 0.5000 0.5000
La 0.5000 0.0000 0.5000
Ru 0.0000 0.0000 0.5000

space-group type	P4/mmm
energy of formation	0.14	eV/f.u.



Here is a geometry-optimized Rb2Se3Br8 structure from Alexandria. Energies are from GGA-PBE.

Lattice parameters (Å, degrees): 8.4923 8.4923 9.2461 100.74 100.74 50.61
Positions (direct):
Rb 0.2284 0.2284 0.2177
Rb 0.7716 0.7716 0.7823
Se 0.3361 0.6639 0.5000
Se 0.5000 0.5000 0.0000
Se 0.6639 0.3361 0.5000
Br 0.1130 0.1130 0.5000
Br 0.1545 0.6484 0.0833
Br 0.3516 0.8455 0.9167
Br 0.3589 0.3589 0.5930
Br 0.6411 0.6411 0.4070
Br 0.6484 0.1545 0.0833
Br 0.8455 0.3516 0.9167
Br 0.8870 0.8870 0.5000

space-group type	C2/m
E_form (uncorrected)	-458	meV per atom



Here is a geometry-optimized LaNi5B3 structure from Alexandria. Energies are from GGA-PBE.

Lattice parameters (Å, degrees): 5.7679 5.7679 11.0938 90.00 90.00 145.97
Positions (direct):
La 0.1591 0.8409 0.7500
La 0.8409 0.1591 0.2500
Ni 0.0000 0.0000 0.0000
Ni 0.0000 0.0000 0.5000
Ni 0.2026 0.7974 0.0644
Ni 0.2026 0.7974 0.4356
Ni 0.4415 0.5585 0.6450
Ni 0.4415 0.5585 0.8550
Ni 0.5585 0.4415 0.1450
Ni 0.5585 0.4415 0.3550
Ni 0.7974 0.2026 0.5644
Ni 0.7974 0.2026 0.9356
B 0.1043 0.8957 0.2500
B 0.3828 0.6172 0.0264
B 0.3828 0.6172 0.4736
B 0.6172 0.3828 0.5264
B 0.6172 0.3828 0.9736
B 0.8957 0.1043 0.7500

space-group type	Cmcm
energy of formation	-2.98	eV/f.u.



Here is a geometry-optimized B5C7 structure from Alexandria. Energies are from GGA-PBE.

Lattice parameters (Å, degrees): 2.5805 2.5805 13.6320 90.00 90.00 120.00
Positions (direct):
B 0.0000 0.0000 0.0000
B 0.0000 0.0000 0.1245
B 0.3333 0.6667 0.2037
B 0.3333 0.6667 0.6824
B 0.6667 0.3333 0.4755
C 0.0000 0.0000 0.5266
C 0.0000 0.0000 0.6306
C 0.3333 0.6667 0.3201
C 0.3333 0.6667 0.8005
C 0.6667 0.3333 0.3566
C 0.6667 0.3333 0.8389
C 0.6667 0.3333 0.9500

space-group type	P3m1
energy of formation	4.68	eV/f.u.



Here is a geometry-optimized MgZnNi3 structure from Alexandria. Energies are from GGA-PBE.

Lattice parameters (Å, degrees): 5.9116 5.9116 5.9116 131.67 112.64 87.15
Positions (direct):
Mg 0.2498 0.9998 0.2500
Mg 0.7502 0.0002 0.7500
Zn 0.0000 0.5000 0.5000
Zn 0.5000 0.5000 0.0000
Ni 0.1851 0.0000 0.6851
Ni 0.1851 0.5000 0.1851
Ni 0.4569 0.7069 0.7500
Ni 0.5431 0.2931 0.2500
Ni 0.8149 0.0000 0.3149
Ni 0.8149 0.5000 0.8149

space-group type	Imma
energy of formation	-0.40	eV/f.u.